Compound: MnTe4As2
Source: Alexandria via LeMat-Bulk
Functional: GGA-PBE
Structure: optimized geometry

ΔE_f (raw) = 286 meV/atom
density of states at the Fermi level = 0.6301 states/eV/atom

Cell lengths 5.542, 5.542, 7.858 Å; angles 69.35, 69.35, 90.00 degrees
Each line ends with the local moment (μB).
Element x y z (fractional)
Te 0.786 0.786 0.428  0.01
Te 0.000 0.500 0.000  -0.01
Te 0.214 0.214 0.572  0.01
Te 0.500 0.000 0.000  -0.01
As 0.604 0.604 0.792  0.04
As 0.396 0.396 0.208  0.04
Mn 0.000 0.000 0.000  3.92